ZrTcSn | PBE-GGA | optimized geometry

The structure in POSCAR format:
```
ZrTcSn
1.0
4.6969 0.0000 0.0000
-2.3484 4.0676 0.0000
0.0000 0.0000 3.0741
Zr Tc Sn
1 1 1
direct
0.0000 0.0000 0.0000
0.6667 0.3333 0.6277
0.3333 0.6667 0.5237
```

- Calculated formation energy: -12.3 kJ per mole of atoms
- Magnetic moment: 0.000 μB per atom
- E: -7.767 eV/atom
- Density of states at the Fermi level: 2.2 states/eV per cell
- Polymorph energy (0 for the lowest one): 0.76 eV per formula unit


ZrTcSn2 | PBE-GGA | optimized geometry

The structure in POSCAR format:
```
ZrTcSn2
1.0
4.1275 0.0000 0.0000
0.0000 4.1275 0.0000
0.0000 0.0000 20.5751
Zr Tc Sn
4 4 8
direct
0.0000 0.0000 0.0000
0.0000 0.5000 0.2500
0.5000 0.0000 0.7500
0.5000 0.5000 0.5000
0.0000 0.0000 0.5000
0.0000 0.5000 0.7500
0.5000 0.0000 0.2500
0.5000 0.5000 0.0000
0.2446 0.2500 0.6250
0.2500 0.7446 0.8750
0.2500 0.7554 0.3750
0.2554 0.2500 0.1250
0.7446 0.7500 0.1250
0.7500 0.2446 0.3750
0.7500 0.2554 0.8750
0.7554 0.7500 0.6250
```

- Calculated formation energy: 21.4 kJ per mole of atoms
- Magnetic moment: 0.000 μB per atom
- E: -6.508 eV/atom
- Density of states at the Fermi level: 11.8 states/eV per cell
- Polymorph energy (0 for the lowest one): 1.44 eV per formula unit


Zr3Tc2Sn | PBE-GGA | optimized geometry

The structure in POSCAR format:
```
Zr3Tc2Sn
1.0
3.4163 0.0000 0.0000
0.0000 3.4163 0.0000
0.0000 0.0000 9.9319
Zr Tc Sn
3 2 1
direct
0.0000 0.0000 0.0000
0.0000 0.0000 0.3136
0.0000 0.0000 0.6864
0.5000 0.5000 0.1656
0.5000 0.5000 0.8344
0.5000 0.5000 0.5000
```

- Calculated formation energy: -39.4 kJ per mole of atoms
- Magnetic moment: 0.000 μB per atom
- E: -8.805 eV/atom
- Density of states at the Fermi level: 1.9 states/eV per cell